1.
The following is a meta-GGA SCAN calculation of a PBEsol-optimized structure of BaSi2Pb, from Alexandria.

Lattice parameters (Å, degrees): 4.7404 4.7404 5.6614 114.75 114.75 90.00
Atoms (fractional coordinates):
Ba 0.5000 0.5000 0.0000
Si 0.2500 0.7500 0.5000
Si 0.7500 0.2500 0.5000
Pb 0.0000 0.0000 0.0000

## Properties
- N(E_F) (states/eV/f.u.) = 1.878
- SG = I4/mmm (139)
- E (eV per atom) = -33.5341
- E_form (uncorrected) (meV per atom) = 306.6
- theoretical density (Mg/m³) = 6.5

2.
The following is a meta-GGA SCAN calculation of a PBEsol-optimized structure of BaSn3Pb, from Alexandria.

Lattice parameters (Å, degrees): 5.9905 5.9905 5.9905 90.00 90.00 90.00
Atoms (fractional coordinates):
Ba 0.0000 0.0000 0.0000
Sn 0.0000 0.0000 0.5000
Sn 0.5000 0.0000 0.0000
Sn 0.0000 0.5000 0.0000
Pb 0.5000 0.5000 0.5000

## Properties
- N(E_F) (states/eV/f.u.) = 5.767
- SG = Pm-3m (221)
- E (eV per atom) = -43.6154
- formation enthalpy at 0 K (kJ/mol of atoms) = 96.83
- theoretical density (Mg/m³) = 5.4

3.
The following is a meta-GGA SCAN calculation of a PBEsol-optimized structure of Ba2Sn2Pb, from Alexandria.

Lattice parameters (Å, degrees): 5.2445 8.2296 8.2296 90.00 90.00 90.00
Atoms (fractional coordinates):
Ba 0.5000 0.6749 0.8251
Ba 0.5000 0.8251 0.3251
Ba 0.5000 0.3251 0.1749
Ba 0.5000 0.1749 0.6749
Sn 0.0000 0.3756 0.8756
Sn 0.0000 0.1244 0.3756
Sn 0.0000 0.8756 0.6244
Sn 0.0000 0.6244 0.1244
Pb 0.0000 0.0000 0.0000
Pb 0.0000 0.5000 0.5000

## Properties
- N(E_F) (states/eV/f.u.) = 2.864
- SG = P4/mbm (127)
- E (eV per atom) = -46.0221
- formation enthalpy at 0 K (kJ/mol of atoms) = -65.35
- theoretical density (Mg/m³) = 6.7

4.
The following is a meta-GGA SCAN calculation of a PBEsol-optimized structure of BaSn2Pb2, from Alexandria.

Lattice parameters (Å, degrees): 5.0073 5.0073 7.6112 109.20 109.20 90.00
Atoms (fractional coordinates):
Pb 0.7500 0.2500 0.5000
Pb 0.2500 0.7500 0.5000
Sn 0.3944 0.3944 0.7889
Sn 0.6056 0.6056 0.2111
Ba 0.0000 0.0000 0.0000

## Properties
- N(E_F) (states/eV/f.u.) = 1.462
- ΔE to the lowest computed polymorph (eV/atom) = 0.000
- SG = I4/mmm (139)
- E (eV per atom) = -52.9871
- formation enthalpy at 0 K (kJ/mol of atoms) = -38.22
- theoretical density (Mg/m³) = 7.8

5.
The following is a meta-GGA SCAN calculation of a PBEsol-optimized structure of BaSn2Pb2, from Alexandria.

Lattice parameters (Å, degrees): 4.2295 8.6978 8.6978 90.00 90.00 90.00
Atoms (fractional coordinates):
Sn 0.0000 0.6206 0.1206
Sn 0.0000 0.1206 0.3794
Sn 0.0000 0.3794 0.8794
Sn 0.0000 0.8794 0.6206
Pb 0.5000 0.1554 0.6554
Pb 0.5000 0.6554 0.8446
Pb 0.5000 0.8446 0.3446
Pb 0.5000 0.3446 0.1554
Ba 0.0000 0.0000 0.0000
Ba 0.0000 0.5000 0.5000

## Properties
- N(E_F) (states/eV/f.u.) = 1.136
- ΔE to the lowest computed polymorph (eV/atom) = 0.066
- SG = P4/mbm (127)
- E (eV per atom) = -52.9209
- formation enthalpy at 0 K (kJ/mol of atoms) = -31.83
- theoretical density (Mg/m³) = 8.2

6.
The following is a meta-GGA SCAN calculation of a PBEsol-optimized structure of Ba2SnPb2, from Alexandria.

Lattice parameters (Å, degrees): 5.3147 8.2199 8.2199 90.00 90.00 90.00
Atoms (fractional coordinates):
Ba 0.5000 0.6720 0.8280
Ba 0.5000 0.3280 0.1720
Ba 0.5000 0.8280 0.3280
Ba 0.5000 0.1720 0.6720
Pb 0.0000 0.6329 0.1329
Pb 0.0000 0.1329 0.3671
Pb 0.0000 0.3671 0.8671
Pb 0.0000 0.8671 0.6329
Sn 0.0000 0.0000 0.0000
Sn 0.0000 0.5000 0.5000

## Properties
- N(E_F) (states/eV/f.u.) = 2.667
- SG = P4/mbm (127)
- E (eV per atom) = -53.9863
- formation enthalpy at 0 K (kJ/mol of atoms) = -64.60
- theoretical density (Mg/m³) = 7.5

7.
The following is a meta-GGA SCAN calculation of a PBEsol-optimized structure of Ba2SnTePb, from Alexandria.

Lattice parameters (Å, degrees): 5.4366 6.5780 6.5780 90.00 90.00 90.00
Atoms (fractional coordinates):
Ba 0.0000 0.5000 0.0000
Ba 0.0000 0.0000 0.5000
Sn 0.5000 0.0000 0.0000
Te 0.5000 0.5000 0.5000
Pb 0.0000 0.0000 0.0000

## Properties
- N(E_F) (states/eV/f.u.) = 2.399
- SG = P4/mmm (123)
- E (eV per atom) = -46.1509
- E_form (uncorrected) (meV per atom) = -540.1
- theoretical density (Mg/m³) = 5.1

8.
The following is a meta-GGA SCAN calculation of a PBEsol-optimized structure of Ba2SrPb, from Alexandria.

Lattice parameters (Å, degrees): 4.2568 4.2568 12.7052 80.36 80.36 60.00
Atoms (fractional coordinates):
Pb 0.5000 0.5000 0.5000
Ba 0.7659 0.7659 0.7024
Ba 0.2341 0.2341 0.2976
Sr 0.0000 0.0000 0.0000

## Properties
- N(E_F) (states/eV/f.u.) = 3.505
- SG = R-3m (166)
- E (eV per atom) = -44.5346
- formation enthalpy at 0 K (kJ/mol of atoms) = -23.68
- theoretical density (Mg/m³) = 4.8

9.
The following is a meta-GGA SCAN calculation of a PBEsol-optimized structure of Ba4SrPb, from Alexandria.

Lattice parameters (Å, degrees): 7.3600 7.3600 7.3600 60.00 60.00 60.00
Atoms (fractional coordinates):
Ba 0.3772 0.8685 0.3772
Ba 0.8685 0.3772 0.3772
Ba 0.3772 0.3772 0.8685
Ba 0.3772 0.3772 0.3772
Sr 0.0000 0.0000 0.0000
Pb 0.7500 0.7500 0.7500

## Properties
- N(E_F) (states/eV/f.u.) = 5.238
- SG = F-43m (216)
- E (eV per atom) = -42.6036
- formation enthalpy at 0 K (kJ/mol of atoms) = 10.22
- theoretical density (Mg/m³) = 5.0

10.
The following is a meta-GGA SCAN calculation of a PBEsol-optimized structure of BaSrPb4, from Alexandria.

Lattice parameters (Å, degrees): 6.5674 6.5674 6.5674 60.00 60.00 60.00
Atoms (fractional coordinates):
Pb 0.8758 0.3747 0.3747
Pb 0.3747 0.3747 0.3747
Pb 0.3747 0.3747 0.8758
Pb 0.3747 0.8758 0.3747
Sr 0.7500 0.7500 0.7500
Ba 0.0000 0.0000 0.0000

## Properties
- N(E_F) (states/eV/f.u.) = 0.592
- SG = F-43m (216)
- E (eV per atom) = -61.4151
- formation enthalpy at 0 K (kJ/mol of atoms) = -56.94
- theoretical density (Mg/m³) = 8.7

11.
The following is a meta-GGA SCAN calculation of a PBEsol-optimized structure of BaTa2Pb, from Alexandria.

Lattice parameters (Å, degrees): 3.2038 5.2905 6.4427 90.00 94.80 90.00
Atoms (fractional coordinates):
Ta 0.7992 0.0000 0.6598
Ta 0.2008 0.0000 0.3402
Ba 0.5000 0.5000 0.0000
Pb 0.0000 0.5000 0.5000

## Properties
- N(E_F) (states/eV/f.u.) = 4.295
- SG = P2/m (10)
- E (eV per atom) = -61.3562
- formation enthalpy at 0 K (kJ/mol of atoms) = 74.13
- theoretical density (Mg/m³) = 10.8

12.
The following is a meta-GGA SCAN calculation of a PBEsol-optimized structure of BaTa2Pb, from Alexandria.

Lattice parameters (Å, degrees): 2.9667 5.7781 6.5779 116.05 103.03 90.00
Atoms (fractional coordinates):
Ta 0.7243 0.7243 0.4486
Ta 0.2757 0.2757 0.5514
Pb 0.0000 0.5000 0.0000
Ba 0.5000 0.0000 0.0000

## Properties
- N(E_F) (states/eV/f.u.) = 4.339
- SG = Immm (71)
- E (eV per atom) = -61.1606
- formation enthalpy at 0 K (kJ/mol of atoms) = 93.00
- theoretical density (Mg/m³) = 12.0